# 1
DFT (PBE-GGA) results for NdGeSbRh3 after structural relaxation.

Geometry as CIF:
```
data_NdGeSbRh3
_cell_length_a 5.7214
_cell_length_b 15.9460
_cell_length_c 5.7655
_cell_angle_alpha 90.00
_cell_angle_beta 90.00
_cell_angle_gamma 90.00
_space_group_name_H-M_alt 'C m c m'
_space_group_IT_number 63
_space_group_name_Hall '-C 2c 2'
loop_
_atom_site_label
_atom_site_type_symbol
_atom_site_fract_x
_atom_site_fract_y
_atom_site_fract_z
_atom_site_occupancy
Nd1 Nd 0.0000 0.2090 0.2500 1
Ge1 Ge 0.0000 0.4111 0.7500 1
Sb1 Sb 0.0000 0.0976 0.7500 1
Rh1 Rh 0.0000 0.2586 0.7500 1
Rh2 Rh 0.2449 0.5000 0.0000 1
```

---

# 2
# BaBi4 PBE-GGA relaxed
# Formation energy in eV per atom: 0.949
data_BaBi4
_cell_length_a 6.2806
_cell_length_b 6.2806
_cell_length_c 6.2806
_cell_angle_alpha 90.00
_cell_angle_beta 90.00
_cell_angle_gamma 90.00
_space_group_name_H-M_alt 'P m -3 m'
_space_group_IT_number 221
_space_group_name_Hall '-P 4 2 3'
loop_
_atom_site_label
_atom_site_type_symbol
_atom_site_fract_x
_atom_site_fract_y
_atom_site_fract_z
_atom_site_occupancy
Ba1 Ba 0.0000 0.0000 0.0000 1
Bi1 Bi 0.0000 0.0000 0.5000 1
Bi2 Bi 0.5000 0.5000 0.5000 1

---

# 3
# FeCo PBE-GGA relaxed
# Formation energy in eV per atom: -0.016
data_FeCo
_cell_length_a 4.0147
_cell_length_b 4.0147
_cell_length_c 19.6559
_cell_angle_alpha 90.00
_cell_angle_beta 90.00
_cell_angle_gamma 120.00
_space_group_name_H-M_alt 'R 3 m'
_space_group_IT_number 160
_space_group_name_Hall 'R 3 -2"'
loop_
_atom_site_label
_atom_site_type_symbol
_atom_site_fract_x
_atom_site_fract_y
_atom_site_fract_z
_atom_site_occupancy
Fe1 Fe 0.0000 0.0000 0.0000 1
Fe2 Fe 0.0000 0.0000 0.1265 1
Fe3 Fe 0.0000 0.0000 0.3758 1
Fe4 Fe 0.0000 0.0000 0.6251 1
Co1 Co 0.0000 0.0000 0.2506 1
Co2 Co 0.0000 0.0000 0.5001 1
Co3 Co 0.0000 0.0000 0.7505 1
Co4 Co 0.0000 0.0000 0.8765 1

---

For each record above, in turn, the calculated uncorrected energy values are -6.50; -2.54; -7.80 eV/atom.